Entry 1:
# NiHgSe2

An optimized crystal structure of NiHgSe2 (GGA-PBE, the Alexandria database).

- Theoretical density: 9.08 Mg/m³
- Formation energy from raw total energies: 0.57 eV/atom
- Energy: -2.6907 eV/atom
- Symmetry: F-43m (216)

Unit cell a=4.7612 b=4.7612 c=4.7612 alpha=60.00 beta=60.00 gamma=60.00
Element x y z (fractional)
Ni 0.0000 0.0000 0.0000
Hg 0.7500 0.7500 0.7500
Se 0.2500 0.2500 0.2500
Se 0.5000 0.5000 0.5000

Entry 2:
# BeVSn2S

An optimized crystal structure of BeVSn2S (GGA-PBE, the Alexandria database).

- Theoretical density: 4.58 Mg/m³
- Formation energy from raw total energies: 0.52 eV/atom
- Energy: -4.4796 eV/atom
- Symmetry: P4/mmm (123)

Unit cell a=5.2497 b=5.2497 c=4.3305 alpha=90.00 beta=90.00 gamma=90.00
Element x y z (fractional)
Be 0.0000 0.0000 0.0000
V 0.5000 0.5000 0.5000
Sn 0.0000 0.5000 0.5000
Sn 0.5000 0.0000 0.5000
S 0.5000 0.5000 0.0000